Arrangement a

First-principles (PBE) data for a relaxed structure of Sr2Be, as listed in Alexandria via LeMat-Bulk.

Lattice parameters (Å, degrees): 3.845 3.845 14.166 90.00 90.00 90.00
Space group I4/mmm (No. 139)
Unique sites:
Sr  0.000  0.000  0.128 [4 per cell]
Be  0.000  0.000  0.500 [2 per cell]

* size of the total moment: 0.00 μB per formula unit



Arrangement b

First-principles (PBE) data for a relaxed structure of Sr2Be, as listed in Alexandria via LeMat-Bulk.

Lattice parameters (Å, degrees): 7.650 7.650 7.650 90.00 90.00 90.00
Space group Fm-3m (No. 225)
Unique sites:
Sr  0.250  0.250  0.250 [8 per cell]
Be  0.000  0.000  0.000 [4 per cell]

* size of the total moment: 0.58 μB per formula unit



Arrangement c

First-principles (PBE) data for a relaxed structure of Sr2Be, as listed in Alexandria via LeMat-Bulk.

Lattice parameters (Å, degrees): 3.890 21.147 5.287 90.00 90.00 90.00
Space group Cmcm (No. 63)
Unique sites:
Sr  0.000  0.059  0.250 [4 per cell]
Sr  0.000  0.187  0.750 [4 per cell]
Be  0.000  0.437  0.250 [4 per cell]

* size of the total moment: 0.00 μB per formula unit



Arrangement d

First-principles (PBE) data for a relaxed structure of Sr2Be, as listed in Alexandria via LeMat-Bulk.

Lattice parameters (Å, degrees): 5.6337 5.6337 3.4739 90.00 90.00 120.00
Space group P6/mmm (No. 191)
Unique sites:
Sr  0.3333  0.6667  0.0000 [2 per cell]
Be  0.0000  0.0000  0.5000 [1 per cell]

* size of the total moment: 0.00 μB per formula unit



Energies in meV/atom, measured from the most stable structure: arrangement a 0; arrangement b 117; arrangement c 66; arrangement d 444.



Arrangement a

First-principles (PBE) data for a relaxed structure of Sr2Be, as listed in Alexandria via LeMat-Bulk.

Lattice parameters (Å, degrees): 7.297 7.604 4.455 90.00 90.00 90.00
Space group Pnnm (No. 58)
Unique sites:
Sr  0.243  0.171  0.000 [4 per cell]
Be  0.000  0.000  0.500 [2 per cell]

* size of the total moment: 0.12 μB per formula unit



Arrangement b

First-principles (PBE) data for a relaxed structure of Sr2Be, as listed in Alexandria via LeMat-Bulk.

Lattice parameters (Å, degrees): 4.049 14.395 7.575 90.00 90.00 90.00
Space group Cmc2_1 (No. 36)
Unique sites:
Sr  0.000  0.020  0.000 [4 per cell]
Sr  0.000  0.277  0.164 [4 per cell]
Be  0.000  0.387  0.781 [4 per cell]

* size of the total moment: 0.00 μB per formula unit



Arrangement c

First-principles (PBE) data for a relaxed structure of Sr2Be, as listed in Alexandria via LeMat-Bulk.

Lattice parameters (Å, degrees): 3.800 3.800 29.866 90.00 90.00 90.00
Space group I4_1/amd (No. 141, origin choice 2)
Unique sites:
Sr  0.000  0.250  0.314 [8 per cell]
Be  0.000  0.250  0.875 [4 per cell]

* size of the total moment: 0.00 μB per formula unit



Energies in meV/atom, measured from the most stable structure: arrangement a 57; arrangement b 18; arrangement c 0.